A relaxed Cr3IF crystal, computed with GGA+U.

Values from the calculation:
E: -5.30 eV/atom
DOS(E_F): 0.1405 states/eV/atom
magnetization: 15.81 μB/cell
excess energy over the best structure of this formula in the dataset: 0 meV/atom
space group: Pm-3m, No. 221

a b c (Å): 4.821 4.821 4.821
angles (deg): 90.00 90.00 90.00
Fractional positions:
1 I 0.500 0.500 0.500
2 Cr 0.000 0.500 0.000
3 Cr 0.000 0.000 0.500
4 Cr 0.500 0.000 0.000
5 F 0.000 0.000 0.000